Entry 1:
DFT (PBE) results for ScNbCN after structural relaxation.

Cell: 3.142 3.142 5.804 Å, 90.00 105.63 120.00°
Fractional coordinates of all 4 atoms:
Sc: 0.480 0.138 0.632
Nb: 0.127 0.961 0.105
C: 0.313 0.554 0.882
N: 0.958 0.377 0.351

Its formation energy without anion corrections is -0.86 eV per atom.


Entry 2:
DFT (PBE) results for CaSi2Tc after structural relaxation.

Cell: 3.247 3.247 6.780 Å, 90.00 90.00 90.00°
Fractional coordinates of all 4 atoms:
Ca: 0.500 0.500 0.746
Si: 0.000 0.000 0.060
Si: 0.500 0.500 0.280
Tc: 0.000 0.000 0.413

Its formation energy without anion corrections is -0.17 eV per atom. The calculation puts the energy above the most stable polymorph in this dataset at 288.8 meV/atom.


Entry 3:
DFT (PBE) results for VCo2AgIr after structural relaxation.

Cell: 4.095 4.728 4.095 Å, 90.00 90.00 90.00°
Site moments in Bohr magnetons follow the coordinates.
Fractional coordinates of all 5 atoms:
Ir: 0.500 0.500 0.500  0.32
Co: 0.000 0.000 0.500  0.48
Co: 0.500 0.000 0.000  0.40
Ag: 0.000 0.500 0.000  -0.02
V: 0.000 0.000 0.000  -0.43

For the energy of formation, the calculation gives 1430 meV per atom.


Entry 4:
DFT (PBE) results for GeBiIN2 after structural relaxation.

Cell: 4.358 4.358 6.547 Å, 90.00 90.00 90.00°
Fractional coordinates of all 5 atoms:
I: 0.000 0.000 0.500
Ge: 0.500 0.500 0.500
Bi: 0.000 0.000 0.000
N: 0.000 0.500 0.000
N: 0.500 0.000 0.000

Its formation energy without anion corrections is 1.63 eV per atom. The calculation puts the energy above the most stable polymorph in this dataset at 175.1 meV/atom.


Entry 5:
DFT (PBE) results for Ti3Co after structural relaxation.

Cell: 2.883 4.817 5.247 Å, 117.33 105.95 90.00°
Fractional coordinates of all 4 atoms:
Co: 0.000 0.022 0.000
Ti: 0.292 0.652 0.584
Ti: 0.500 0.426 0.000
Ti: 0.708 0.067 0.416

For the energy of formation, the calculation gives -165 meV per atom.


Entry 6:
DFT (PBE) results for RbHf3Tc after structural relaxation.

Cell: 5.173 5.173 5.173 Å, 90.00 90.00 90.00°
Site moments in Bohr magnetons follow the coordinates.
Fractional coordinates of all 5 atoms:
Hf: 0.000 0.500 0.000  0.15
Hf: 0.000 0.000 0.500  0.10
Hf: 0.500 0.000 0.000  0.22
Tc: 0.000 0.000 0.000  -0.05
Rb: 0.500 0.500 0.500  0.01

For the energy of formation, the calculation gives 711 meV per atom. The calculation puts the energy above the most stable polymorph in this dataset at 0.0 meV/atom.


Entry 7:
DFT (PBE) results for Sr2PtIN after structural relaxation.

Cell: 5.562 5.562 3.981 Å, 90.00 90.00 90.00°
Fractional coordinates of all 5 atoms:
I: 0.500 0.500 0.500
Sr: 0.000 0.500 0.000
Sr: 0.500 0.000 0.000
Pt: 0.000 0.000 0.500
N: 0.000 0.000 0.000

Its formation energy without anion corrections is -0.81 eV per atom.


For each record above, in turn, the calculated E values are -9.351; -5.970; -5.578; -3.712; -7.862; -7.528; -4.667 eV/atom.